Compound: Tl3Hg3Pb
Source: Alexandria via LeMat-Bulk
Functional: PBE
Structure: relaxed

a = 8.327 Å, b = 8.327 Å, c = 8.327 Å
α = 90.00°, β = 90.00°, γ = 90.00°
Element x y z (fractional)
Pb 0.500 0.500 0.500
Pb 0.000 0.000 0.000
Tl 0.000 0.250 0.500
Tl 0.000 0.750 0.500
Tl 0.500 0.000 0.750
Tl 0.750 0.500 0.000
Tl 0.500 0.000 0.250
Tl 0.250 0.500 0.000
Hg 0.250 0.000 0.500
Hg 0.000 0.500 0.250
Hg 0.500 0.750 0.000
Hg 0.750 0.000 0.500
Hg 0.000 0.500 0.750
Hg 0.500 0.250 0.000

Output
Energy relative to the lowest polymorph listed for this composition   335.4 meV/atom
Calculated formation energy   0.372 eV/atom
Crystal system   cubic



Compound: Li3Au
Source: Alexandria via LeMat-Bulk
Functional: PBE
Structure: relaxed

a = 9.178 Å, b = 9.178 Å, c = 9.178 Å
α = 19.05°, β = 19.05°, γ = 19.05°
Element x y z (fractional)
Au 0.000 0.000 0.000
Li 0.741 0.741 0.741
Li 0.500 0.500 0.500
Li 0.259 0.259 0.259

Output
Calculated formation energy   -0.183 eV/atom
Crystal system   trigonal



Compound: CaLaSmAl
Source: Alexandria via LeMat-Bulk
Functional: PBE
Structure: relaxed

a = 5.542 Å, b = 5.542 Å, c = 5.542 Å
α = 60.00°, β = 60.00°, γ = 60.00°
Element x y z (fractional)
Ca 0.250 0.250 0.250
Al 0.750 0.750 0.750
Sm 0.000 0.000 0.000
La 0.500 0.500 0.500

Output
Calculated formation energy   -0.086 eV/atom
Crystal system   cubic



Compound: LiYC
Source: Alexandria via LeMat-Bulk
Functional: PBE
Structure: relaxed

a = 12.625 Å, b = 6.081 Å, c = 6.081 Å
α = 143.98°, β = 150.18°, γ = 29.82°
Element x y z (fractional)
Y 0.220 0.321 0.679
Y 0.788 0.032 0.968
C 0.569 0.838 0.162
C 0.787 0.687 0.313
Li 0.313 0.963 0.037
Li 0.744 0.333 0.667

Output
Energy relative to the lowest polymorph listed for this composition   122.8 meV/atom
Calculated formation energy   -0.012 eV/atom
Crystal system   monoclinic



Compound: Ba3Hg2Pd
Source: Alexandria via LeMat-Bulk
Functional: PBE
Structure: relaxed

a = 5.820 Å, b = 9.180 Å, c = 8.208 Å
α = 90.00°, β = 90.01°, γ = 71.52°
Element x y z (fractional)
Ba 0.829 0.343 0.764
Ba 0.499 0.000 0.242
Ba 0.171 0.657 0.236
Ba 0.828 0.343 0.236
Ba 0.172 0.657 0.764
Ba 0.501 0.000 0.758
Hg 0.000 0.000 0.000
Hg 0.000 0.000 0.500
Hg 0.334 0.332 0.500
Hg 0.666 0.668 0.500
Pd 0.341 0.318 0.000
Pd 0.659 0.682 0.000

Output
Calculated formation energy   -0.479 eV/atom
Crystal system   orthorhombic



Compound: K4IrO6
Source: Alexandria via LeMat-Bulk
Functional: PBE
Structure: relaxed

a = 7.323 Å, b = 7.323 Å, c = 7.323 Å
α = 91.18°, β = 91.18°, γ = 88.82°
Site moments in Bohr magnetons follow the coordinates.
Element x y z (fractional)
K 0.390 0.110 0.250  0.00
K 0.890 0.250 0.390  0.00
K 0.250 0.610 0.110  0.00
K 0.250 0.250 0.750  0.00
K 0.750 0.750 0.250  0.00
K 0.750 0.390 0.890  0.00
K 0.110 0.750 0.610  0.00
K 0.610 0.890 0.750  0.00
Ir 0.500 0.500 0.500  0.50
Ir 0.000 0.000 0.000  0.50
O 0.754 0.055 0.065  0.07
O 0.065 0.246 0.055  0.07
O 0.565 0.445 0.254  0.07
O 0.945 0.065 0.754  0.07
O 0.555 0.254 0.565  0.07
O 0.254 0.435 0.445  0.07
O 0.746 0.565 0.555  0.07
O 0.445 0.746 0.435  0.07
O 0.055 0.935 0.246  0.07
O 0.435 0.555 0.746  0.07
O 0.935 0.754 0.945  0.07
O 0.246 0.945 0.935  0.07

Output
Crystal system   trigonal
Formation energy without anion corrections   -1227.9 kJ/mol of formula units



no.,DOS(E_F) (states/eV/atom),E_tot (Ry per atom)
1,0.951,-0.0956
2,0.436,-0.1792
3,0.726,-0.2891
4,0.541,-0.4321
5,0.955,-0.1769
6,0.620,-0.3723